Below is a geometry-optimized LiAc2Cu3Sn4 structure, with properties calculated at the PBE-GGA level.

Final energy: -4.323 eV per atom
Calculated formation energy: -480 meV/atom
D(E_F): 3.9 states/eV/f.u.
Calculated volume: 233.0 Å³ per cell

abc: 4.6046 4.6046 10.9893
angles: 90.00 90.00 90.00
Closest atoms and distances in Å follow each position.
Positions (direct):
Cu1 0.0000 0.0000 0.5000  4 Sn 2.70
Cu2 0.0000 0.5000 0.1331  5 Sn 2.62-2.73
Cu3 0.5000 0.0000 0.8669  5 Sn 2.62-2.73
Sn1 0.0000 0.0000 0.0000  4 Cu 2.73
Sn2 0.5000 0.0000 0.6281  3 Cu 2.62-2.70, 2 Li 2.70
Sn3 0.5000 0.5000 0.0000  4 Cu 2.73
Sn4 0.0000 0.5000 0.3719  3 Cu 2.62-2.70, 2 Li 2.70
Li1 0.5000 0.5000 0.5000  4 Sn 2.70
Ac1 0.0000 0.5000 0.7437  8 Sn 3.49-3.64, 6 Cu 3.53, 2 Li 3.53
Ac2 0.5000 0.0000 0.2563  8 Sn 3.49-3.64, 6 Cu 3.53, 2 Li 3.53